VASP calculation (GGA-PBE) on a relaxed structure of ZnCu3Pd12.

The structure belongs to space group P4/mmm (No. 123); the cell edges are 3.903, 3.903 and 15.523 Å and the angles 90.00°, 90.00° and 90.00°. The asymmetric unit holds Zn at (0.000, 0.000, 0.000), Cu at (0.000, 0.000, 0.251), Cu at (0.000, 0.000, 0.500), Pd at (0.000, 0.500, 0.126), Pd at (0.000, 0.500, 0.376), Pd at (0.500, 0.500, 0.000), Pd at (0.500, 0.500, 0.251) and Pd at (0.500, 0.500, 0.500).

The formation energy from the elements is -2.75 kcal/mol of atoms. The density of states at the Fermi level comes out at 19.34 states/eV/cell. The total magnetic moment comes out at 0.001 μB/f.u.